Density functional theory data (PBE-GGA) for a geometry-optimized BaSr2Br structure.

a b c (Å): 4.222 7.316 7.365
angles (deg): 59.49 90.00 90.00
Atoms (fractional coordinates):
Sr 0.000 0.939 0.941
Sr 0.000 0.561 0.559
Ba 0.500 0.250 0.250
Br 0.500 0.750 0.750

Summary:
E above lowest polymorph	61	meV per atom
E_form (uncorrected)	-675	meV per atom
volume	196.02	Å³ per cell

Density functional theory data (PBE-GGA) for a geometry-optimized Sm3Th2 structure.

a b c (Å): 3.614 3.614 14.795
angles (deg): 82.99 82.99 60.00
Atoms (fractional coordinates):
Sm 0.000 0.000 0.000
Sm 0.202 0.202 0.393
Sm 0.798 0.798 0.607
Th 0.600 0.600 0.200
Th 0.400 0.400 0.800

Summary:
E above lowest polymorph	12	meV per atom
energy of formation	0.2	eV/f.u.
volume	165.63	Å³ per cell

Density functional theory data (PBE-GGA) for a geometry-optimized CdMo3 structure.

a b c (Å): 3.331 3.331 6.197
angles (deg): 90.00 90.00 90.00
Atoms (fractional coordinates):
Cd 0.000 0.000 0.000
Mo 0.000 0.000 0.500
Mo 0.500 0.500 0.285
Mo 0.500 0.500 0.715

Summary:
E above lowest polymorph	135	meV per atom
energy of formation	1.4	eV/f.u.
volume	68.75	Å³ per cell

Density functional theory data (PBE-GGA) for a geometry-optimized Mg2ZrTi structure.

a b c (Å): 4.579 4.259 4.259
angles (deg): 90.00 90.00 90.00
Atoms (fractional coordinates):
Mg 0.000 0.000 0.500
Mg 0.000 0.500 0.000
Zr 0.500 0.000 0.000
Ti 0.500 0.500 0.500

Summary:
E above lowest polymorph	127	meV per atom
energy of formation	0.6	eV/f.u.
volume	83.05	Å³ per cell